No. 1
First-principles (PBE) data for crystalline LiTb2MgS4 at its relaxed geometry, as listed in Alexandria.

Output
- size of the total moment (μB per formula unit) = 0.00
- N(E_F) (states/eV per cell) = 2.772
- energy (eV/atom) = -5.40

Cell: 3.844 6.633 6.636 Å, 70.84 90.00 90.00°
Positions (direct):
Li 0.500 0.500 0.000
S 0.000 0.263 0.250
S 0.500 0.733 0.257
S 0.000 0.737 0.750
S 0.500 0.267 0.743
Mg 0.000 0.500 0.500
Tb 0.000 0.000 0.000
Tb 0.500 0.000 0.500

---

No. 2
First-principles (PBE) data for crystalline Ba4NaIn2Ag at its relaxed geometry, as listed in Alexandria.

Output
- size of the total moment (μB per formula unit) = 0.00
- N(E_F) (states/eV per cell) = 8.437
- energy (eV/atom) = -2.43
- formation energy (eV/atom) = -0.2674

Cell: 6.067 6.067 10.540 Å, 73.27 73.27 60.00°
Positions (direct):
In 0.743 0.743 0.770
In 0.257 0.257 0.230
Ba 0.382 0.382 0.853
Ba 0.131 0.131 0.607
Ba 0.618 0.618 0.147
Ba 0.869 0.869 0.393
Ag 0.500 0.500 0.500
Na 0.000 0.000 0.000